Entry 1:
First-principles (GGA-PBE) data for a relaxed Ho2Er3Th3 crystal, as listed in Alexandria.

abc: 10.669 10.669 10.669
angles: 152.96 152.85 38.69
Fractional positions:
Ho  0.250  0.250  0.000
Ho  0.750  0.750  0.000
Er  0.000  0.000  0.000
Er  0.125  0.625  0.500
Er  0.875  0.375  0.500
Th  0.376  0.876  0.500
Th  0.500  0.500  0.000
Th  0.624  0.124  0.500

Results
Calculated formation energy in eV per atom: 0.036
Symmetry: No. 71

Entry 2:
First-principles (GGA-PBE) data for a relaxed CdCoTe2 crystal, as listed in Alexandria.

abc: 5.188 5.188 6.195
angles: 110.24 110.24 42.29
Fractional positions:
Cd  0.000  0.000  0.000
Co  0.730  0.730  0.985
Te  0.168  0.168  0.692
Te  0.330  0.330  0.273

Results
Symmetry: No. 8
Formation energy (no corrections) in meV/atom: -6